Record 1
Below is an optimized crystal structure of LaYOs2, with properties calculated at the PBE level.

The total DFT energy (no corrections) is -8.25 eV/atom. Its formation energy is 0.22 eV per atom. As for the space group: Pmm2 (25). For the distance to the lowest polymorph of the same formula, the calculation gives 30.24 kJ per mole of atoms.

Geometry as POSCAR:
```
LaYOs2
1.0
2.994 0.000 0.000
0.000 3.759 0.000
0.000 0.000 8.405
La Os Y
1 2 1
direct
0.500 0.500 0.814
0.000 0.000 0.073
0.500 0.500 0.187
0.000 0.000 0.426
```


Record 2
Below is an optimized crystal structure of SrRu, with properties calculated at the PBE level.

The total DFT energy (no corrections) is -5.08 eV/atom. Its formation energy is 0.40 eV per atom. As for the space group: Cmme (67).

Geometry as POSCAR:
```
SrRu
1.0
-0.514 0.153 3.458
3.343 -1.026 0.126
2.654 8.649 0.012
Ru Sr
2 2
direct
0.000 0.000 0.919
0.500 0.500 0.831
0.000 0.000 0.582
0.500 0.500 0.168
```


Record 3
Below is an optimized crystal structure of Hf2Ti3Al3, with properties calculated at the PBE level.

The total DFT energy (no corrections) is -7.09 eV/atom. Its formation energy is -0.23 eV per atom. As for the space group: R32 (155).

Geometry as POSCAR:
```
Hf2Ti3Al3
1.0
-1.957 -4.212 2.567
5.038 -1.634 -0.347
1.542 1.349 4.896
Hf Ti Al
2 3 3
direct
0.204 0.204 0.796
0.796 0.796 0.204
0.235 0.765 0.500
0.500 0.235 0.235
0.765 0.500 0.765
0.321 0.679 0.000
0.000 0.321 0.321
0.679 0.000 0.679
```


Record 4
Below is an optimized crystal structure of Tb2Sm8Er3, with properties calculated at the PBE level.

The total DFT energy (no corrections) is -4.46 eV/atom. Its formation energy is 0.21 eV per atom. As for the space group: P2/m (10).

Geometry as POSCAR:
```
Tb2Sm8Er3
1.0
-1.843 -2.395 -4.788
4.903 -5.815 1.022
-9.536 -2.138 4.741
Tb Sm Er
2 8 3
direct
0.500 0.241 0.480
0.500 0.759 0.520
0.000 0.671 0.341
0.000 0.329 0.659
0.000 0.131 0.262
0.000 0.869 0.738
0.500 0.601 0.789
0.500 0.188 0.789
0.500 0.812 0.211
0.500 0.399 0.211
0.500 0.000 0.000
0.000 0.285 0.000
0.000 0.715 0.000
```


Record 5
Below is an optimized crystal structure of TaSbRu2, with properties calculated at the PBE level.

The uncorrected formation energy is 146 meV/atom. The total DFT energy (no corrections) is -8.49 eV/atom. As for the space group: P4mm (99).

Geometry as POSCAR:
```
TaSbRu2
1.0
-0.798 -0.741 -2.893
-2.116 -1.972 1.089
-4.823 5.177 0.003
Ru Sb Ta
2 1 1
direct
0.000 0.000 0.995
0.500 0.500 0.252
0.000 0.000 0.476
0.500 0.500 0.777
```


Record 6
Below is an optimized crystal structure of PrNd5N4, with properties calculated at the PBE level.

The uncorrected formation energy is -1059 meV/atom. The total DFT energy (no corrections) is -7.25 eV/atom. As for the space group: C2/m (12).

Geometry as POSCAR:
```
PrNd5N4
1.0
-2.788 0.404 -2.301
-2.169 -7.076 1.387
-2.555 3.998 6.674
Pr Nd N
1 5 4
direct
0.500 0.000 0.000
0.159 0.305 0.319
0.165 0.851 0.329
0.835 0.149 0.671
0.500 0.500 0.000
0.841 0.695 0.681
0.668 0.084 0.337
0.003 0.256 0.005
0.332 0.916 0.663
0.997 0.744 0.995
```


Number 1: spin magnetization 0.0 Bohr magnetons per cell. Number 2: spin magnetization 0.0 Bohr magnetons per cell. Number 3: spin magnetization 0.0 Bohr magnetons per cell. Number 4: spin magnetization 0.0 Bohr magnetons per cell. Number 5: spin magnetization 0.0 Bohr magnetons per cell. Number 6: spin magnetization 0.0 Bohr magnetons per cell.